(1)
## CaB2H (PBE)

Data for a relaxed structure of CaB2H.

```
CaB2H
1.0
-1.641 1.641 8.182
1.641 -1.641 8.182
1.641 1.641 -8.182
Ca B H
2 4 2
Cartesian
1.641 0.820 2.045 Ca
0.000 0.820 6.136 Ca
0.000 0.000 0.000 B
0.820 0.820 -4.091 B
0.820 -0.820 4.091 B
0.000 1.641 0.000 B
1.641 -0.820 6.136 H
0.000 2.461 2.045 H
```

Calculated values
* electronic total energy: -4.4700 eV/atom
* energy above the most stable polymorph in this dataset: 0.0 meV per atom



(2)
## CaB2H2 (PBE)

Data for a relaxed structure of CaB2H2.

```
CaB2H2
1.0
17.126 0.000 0.000
0.000 3.205 0.000
0.000 0.000 3.460
Ca B H
4 8 8
Cartesian
1.961 0.801 0.151 Ca
6.602 2.404 1.881 Ca
10.525 0.801 1.579 Ca
15.165 2.404 3.310 Ca
0.190 2.404 1.527 B
4.071 2.404 2.220 B
4.492 0.801 0.490 B
8.373 0.801 3.257 B
8.754 2.404 0.203 B
12.634 2.404 2.971 B
13.055 0.801 1.241 B
16.936 0.801 1.934 B
0.628 2.404 0.377 H
2.813 2.404 2.128 H
5.750 0.801 0.398 H
7.935 0.801 2.107 H
9.191 2.404 1.353 H
11.376 2.404 3.062 H
14.313 0.801 1.332 H
16.498 0.801 3.083 H
```

Calculated values
* electronic total energy: -4.2950 eV/atom
* energy above the most stable polymorph in this dataset: 377.7 meV per atom



(3)
## CaBH2 (PBE)

Data for a relaxed structure of CaBH2.

```
CaBH2
1.0
1.702 0.983 3.813
-1.702 0.983 3.813
0.000 -1.965 3.813
Ca B H
1 1 2
Cartesian
0.000 0.000 0.000 Ca
0.000 0.000 5.719 B
0.000 0.000 2.447 H
0.000 0.000 8.990 H
```

Calculated values
* electronic total energy: -3.3468 eV/atom
* energy above the most stable polymorph in this dataset: 198.3 meV per atom



(4)
## CaB2H3 (PBE)

Data for a relaxed structure of CaB2H3.

```
CaB2H3
1.0
3.514 0.000 0.000
0.000 3.606 0.000
-1.012 0.000 16.647
Ca B H
4 8 12
Cartesian
0.372 0.170 6.382 Ca
-0.134 1.633 14.706 Ca
2.636 1.973 1.942 Ca
2.130 3.437 10.265 Ca
0.137 1.951 4.214 B
-0.369 3.459 12.538 B
0.371 2.002 8.514 B
0.877 3.407 0.190 B
1.625 0.199 16.457 B
2.131 1.604 8.134 B
2.871 0.148 4.109 B
2.365 1.656 12.433 B
0.878 2.290 0.710 H
0.372 3.119 9.033 H
0.918 1.938 3.245 H
0.412 3.472 11.568 H
0.928 1.961 5.168 H
0.422 3.448 13.492 H
2.080 0.158 3.155 H
1.574 1.645 11.479 H
2.090 0.135 5.079 H
1.584 1.668 13.403 H
2.130 0.487 7.614 H
1.624 1.316 15.937 H
```

Calculated values
* electronic total energy: -4.3824 eV/atom
* energy above the most stable polymorph in this dataset: 0.0 meV per atom



Question: Which of these has the highest electronic total energy?
Answer: CaBH2